## Cu2MoCl (GGA-PBE)

Data for a relaxed Cu2MoCl crystal.

## Properties
Raw formation energy, eV per atom: 0.772
Density, g cm⁻³: 7.2
Offset from the most stable computed form, kJ/mol of formula units: 221.9
E, eV/f.u.: -17.78
Space-group type: No. 123
Magnetization, μB/cell: 2.0

a = 3.599 Å, b = 3.599 Å, c = 4.604 Å
α = 90.00°, β = 90.00°, γ = 90.00°
Atoms (fractional coordinates):
Cu: 0.000 0.500 0.000
Cu: 0.500 0.000 0.000
Mo: 0.000 0.000 0.500
Cl: 0.500 0.500 0.500

=====

## CuMo2Cl (GGA-PBE)

Data for a relaxed CuMo2Cl crystal.

## Properties
Raw formation energy, eV per atom: 0.722
Density, g cm⁻³: 8.4
Offset from the most stable computed form, kJ/mol of formula units: 187.5
E, eV/f.u.: -24.72
Space-group type: No. 123
Magnetization, μB/cell: 0.0

a = 4.556 Å, b = 4.556 Å, c = 2.776 Å
α = 90.00°, β = 90.00°, γ = 90.00°
Atoms (fractional coordinates):
Cu: 0.000 0.000 0.000
Mo: 0.000 0.500 0.500
Mo: 0.500 0.000 0.500
Cl: 0.500 0.500 0.000

=====

## CuMo2Cl (GGA-PBE)

Data for a relaxed CuMo2Cl crystal.

## Properties
Raw formation energy, eV per atom: 0.613
Density, g cm⁻³: 7.9
Offset from the most stable computed form, kJ/mol of formula units: 145.3
E, eV/f.u.: -25.15
Space-group type: No. 65
Magnetization, μB/cell: 0.0

a = 2.734 Å, b = 2.734 Å, c = 8.593 Å
α = 90.00°, β = 90.00°, γ = 108.48°
Atoms (fractional coordinates):
Cu: 0.000 0.000 0.000
Mo: 0.500 0.500 0.246
Mo: 0.500 0.500 0.754
Cl: 0.000 0.000 0.500

=====

## CuMoCl2 (GGA-PBE)

Data for a relaxed CuMoCl2 crystal.

## Properties
Raw formation energy, eV per atom: 0.504
Density, g cm⁻³: 5.0
Offset from the most stable computed form, kJ/mol of formula units: 238.3
E, eV/f.u.: -16.60
Space-group type: No. 119
Magnetization, μB/cell: 3.9

a = 6.423 Å, b = 6.423 Å, c = 6.423 Å
α = 147.31°, β = 147.31°, γ = 46.91°
Atoms (fractional coordinates):
Cu: 0.000 0.000 0.000
Mo: 0.250 0.750 0.500
Cl: 0.500 0.500 0.000
Cl: 0.750 0.250 0.500

=====

## Cu3MoCl (GGA-PBE)

Data for a relaxed Cu3MoCl crystal.

## Properties
Raw formation energy, eV per atom: 1.485
Density, g cm⁻³: 4.9
Offset from the most stable computed form, kJ/mol of formula units: 58.7
E, eV/f.u.: -17.54
Space-group type: No. 221
Magnetization, μB/cell: 0.0

a = 4.783 Å, b = 4.783 Å, c = 4.783 Å
α = 90.00°, β = 90.00°, γ = 90.00°
Atoms (fractional coordinates):
Cu: 0.000 0.000 0.500
Cu: 0.000 0.500 0.000
Cu: 0.500 0.000 0.000
Mo: 0.000 0.000 0.000
Cl: 0.500 0.500 0.500

=====

## Cu3MoCl (GGA-PBE)

Data for a relaxed Cu3MoCl crystal.

## Properties
Raw formation energy, eV per atom: 1.364
Density, g cm⁻³: 6.7
Offset from the most stable computed form, kJ/mol of formula units: 0.0
E, eV/f.u.: -18.15
Space-group type: No. 221
Magnetization, μB/cell: 0.0

a = 4.313 Å, b = 4.313 Å, c = 4.313 Å
α = 90.00°, β = 90.00°, γ = 90.00°
Atoms (fractional coordinates):
Cu: 0.000 0.000 0.500
Cu: 0.000 0.500 0.000
Cu: 0.500 0.000 0.000
Mo: 0.500 0.500 0.500
Cl: 0.000 0.000 0.000

=====

## CuMo2Cl (GGA-PBE)

Data for a relaxed CuMo2Cl crystal.

## Properties
Raw formation energy, eV per atom: 0.919
Density, g cm⁻³: 7.7
Offset from the most stable computed form, kJ/mol of formula units: 263.2
E, eV/f.u.: -23.93
Space-group type: No. 139
Magnetization, μB/cell: 0.0

a = 5.225 Å, b = 5.225 Å, c = 5.225 Å
α = 138.15°, β = 138.15°, γ = 60.68°
Atoms (fractional coordinates):
Cu: 0.000 0.000 0.000
Mo: 0.250 0.750 0.500
Mo: 0.750 0.250 0.500
Cl: 0.500 0.500 0.000

=====

## CuMoCl2 (GGA-PBE)

Data for a relaxed CuMoCl2 crystal.

## Properties
Raw formation energy, eV per atom: 0.529
Density, g cm⁻³: 4.7
Offset from the most stable computed form, kJ/mol of formula units: 247.9
E, eV/f.u.: -16.51
Space-group type: No. 122
Magnetization, μB/cell: 4.1

a = 6.373 Å, b = 6.373 Å, c = 6.373 Å
α = 126.17°, β = 126.17°, γ = 79.61°
Atoms (fractional coordinates):
Cu: 0.000 0.000 0.000
Cu: 0.750 0.250 0.500
Mo: 0.250 0.750 0.500
Mo: 0.500 0.500 0.000
Cl: 0.103 0.625 0.978
Cl: 0.375 0.353 0.478
Cl: 0.647 0.125 0.022
Cl: 0.875 0.897 0.522

=====

## CuMoCl2 (GGA-PBE)

Data for a relaxed CuMoCl2 crystal.

## Properties
Raw formation energy, eV per atom: 0.551
Density, g cm⁻³: 5.9
Offset from the most stable computed form, kJ/mol of formula units: 256.3
E, eV/f.u.: -16.42
Space-group type: No. 123
Magnetization, μB/cell: 1.7

a = 3.224 Å, b = 3.224 Å, c = 6.195 Å
α = 90.00°, β = 90.00°, γ = 90.00°
Atoms (fractional coordinates):
Cu: 0.000 0.000 0.000
Mo: 0.000 0.000 0.500
Cl: 0.500 0.500 0.263
Cl: 0.500 0.500 0.737

=====

## Cu2MoCl (GGA-PBE)

Data for a relaxed Cu2MoCl crystal.

## Properties
Raw formation energy, eV per atom: 0.558
Density, g cm⁻³: 7.3
Offset from the most stable computed form, kJ/mol of formula units: 139.4
E, eV/f.u.: -18.64
Space-group type: No. 12
Magnetization, μB/cell: 0.6

a = 5.526 Å, b = 5.526 Å, c = 4.300 Å
α = 112.75°, β = 112.75°, γ = 29.38°
Atoms (fractional coordinates):
Cu: 0.241 0.241 0.241
Cu: 0.759 0.759 0.759
Mo: 0.500 0.500 0.000
Cl: 0.000 0.000 0.500

=====

## CuMo2Cl (GGA-PBE)

Data for a relaxed CuMo2Cl crystal.

## Properties
Raw formation energy, eV per atom: 0.778
Density, g cm⁻³: 7.8
Offset from the most stable computed form, kJ/mol of formula units: 208.8
E, eV/f.u.: -24.49
Space-group type: No. 47
Magnetization, μB/cell: 0.0

a = 2.975 Å, b = 4.544 Å, c = 4.599 Å
α = 90.00°, β = 90.00°, γ = 90.00°
Atoms (fractional coordinates):
Cu: 0.000 0.000 0.000
Mo: 0.000 0.500 0.500
Mo: 0.500 0.000 0.500
Cl: 0.500 0.500 0.000

=====

## CuMo2Cl (GGA-PBE)

Data for a relaxed CuMo2Cl crystal.

## Properties
Raw formation energy, eV per atom: 0.298
Density, g cm⁻³: 7.5
Offset from the most stable computed form, kJ/mol of formula units: 23.6
E, eV/f.u.: -26.41
Space-group type: No. 35
Magnetization, μB/cell: 0.0

a = 2.911 Å, b = 2.911 Å, c = 8.269 Å
α = 90.00°, β = 90.00°, γ = 112.64°
Atoms (fractional coordinates):
Cu: 0.000 0.000 0.000
Mo: 0.000 0.000 0.486
Mo: 0.500 0.500 0.250
Cl: 0.500 0.500 0.747